i:
VASP calculation (GGA-PBE) on an optimized crystal structure of SrSmCu2.

Cell: 3.671 3.671 7.327 Å, 90.00 90.00 90.00°
Sites, in units of the cell vectors:
Sm 0.500 0.500 0.000
Cu 0.000 0.000 0.800
Cu 0.000 0.000 0.200
Sr 0.500 0.500 0.500

=====

ii:
VASP calculation (GGA-PBE) on an optimized crystal structure of SrSmCu2.

Cell: 5.144 5.144 5.144 Å, 60.00 60.00 60.00°
Sites, in units of the cell vectors:
Sm 0.000 0.000 0.000
Cu 0.250 0.250 0.250
Cu 0.750 0.750 0.750
Sr 0.500 0.500 0.500

=====

Stability, lowest: ii

=====

i:
VASP calculation (GGA-PBE) on an optimized crystal structure of TbSm2Cu2.

Cell: 4.493 5.493 11.352 Å, 111.69 90.00 90.00°
Sites, in units of the cell vectors:
Sm 0.750 0.708 0.455
Sm 0.250 0.778 0.879
Sm 0.750 0.222 0.121
Sm 0.250 0.292 0.545
Cu 0.250 0.873 0.642
Cu 0.750 0.127 0.358
Cu 0.750 0.642 0.025
Cu 0.250 0.358 0.975
Tb 0.750 0.195 0.787
Tb 0.250 0.805 0.213

=====

ii:
VASP calculation (GGA-PBE) on an optimized crystal structure of TbSm2Cu2.

Cell: 3.573 5.120 13.319 Å, 90.00 97.72 90.00°
Sites, in units of the cell vectors:
Sm 0.770 0.250 0.540
Sm 0.954 0.250 0.906
Sm 0.230 0.750 0.460
Sm 0.046 0.750 0.094
Cu 0.361 0.250 0.721
Cu 0.639 0.750 0.279
Cu 0.547 0.250 0.095
Cu 0.453 0.750 0.905
Tb 0.860 0.750 0.719
Tb 0.140 0.250 0.281

=====

Stability, lowest: i

=====

i:
VASP calculation (GGA-PBE) on an optimized crystal structure of Sm8Cu2Tc.

Cell: 5.863 7.922 7.922 Å, 116.29 100.96 100.96°
Sites, in units of the cell vectors:
Cu 0.497 0.703 0.307
Cu 0.497 0.307 0.703
Sm 0.993 0.207 0.792
Sm 0.181 0.370 0.370
Sm 0.588 0.090 0.331
Sm 0.384 0.669 0.912
Sm 0.588 0.331 0.090
Sm 0.384 0.912 0.669
Sm 0.816 0.642 0.642
Sm 0.993 0.792 0.207
Tc 0.081 0.010 0.010

=====

ii:
VASP calculation (GGA-PBE) on an optimized crystal structure of Sm8Cu2Tc.

Cell: 5.179 6.888 9.167 Å, 106.35 106.41 90.00°
Sites, in units of the cell vectors:
Sm 0.030 0.793 0.060
Sm 0.197 0.323 0.395
Sm 0.668 0.981 0.335
Sm 0.332 0.019 0.665
Sm 0.409 0.552 0.819
Sm 0.591 0.448 0.181
Sm 0.970 0.207 0.940
Sm 0.803 0.677 0.605
Cu 0.183 0.719 0.365
Cu 0.817 0.281 0.635
Tc 0.500 0.000 0.000

=====

Stability, lowest: i

=====

i:
VASP calculation (GGA-PBE) on an optimized crystal structure of Sm2CuTe3.

Cell: 4.309 12.001 13.083 Å, 90.00 90.00 90.00°
Sites, in units of the cell vectors:
Cu 0.250 0.282 0.701
Cu 0.750 0.718 0.299
Cu 0.750 0.782 0.799
Cu 0.250 0.218 0.201
Sm 0.250 0.684 0.462
Sm 0.750 0.316 0.538
Sm 0.250 0.971 0.273
Sm 0.250 0.529 0.773
Sm 0.750 0.029 0.727
Sm 0.750 0.184 0.038
Sm 0.250 0.816 0.962
Sm 0.750 0.471 0.227
Te 0.750 0.876 0.436
Te 0.750 0.624 0.936
Te 0.250 0.068 0.895
Te 0.250 0.432 0.395
Te 0.250 0.124 0.564
Te 0.750 0.323 0.803
Te 0.750 0.932 0.105
Te 0.750 0.177 0.303
Te 0.250 0.376 0.064
Te 0.250 0.677 0.197
Te 0.250 0.823 0.697
Te 0.750 0.568 0.605

=====

ii:
VASP calculation (GGA-PBE) on an optimized crystal structure of Sm2CuTe3.

Cell: 4.119 4.845 9.357 Å, 105.01 102.72 90.00°
Sites, in units of the cell vectors:
Te 0.822 0.822 0.644
Te 0.000 0.500 0.000
Te 0.178 0.178 0.356
Sm 0.362 0.362 0.723
Sm 0.638 0.638 0.277
Cu 0.000 0.000 0.000

=====

Stability, lowest: ii

=====

i:
VASP calculation (GGA-PBE) on an optimized crystal structure of Sm2TiCu.

Cell: 3.275 3.275 10.807 Å, 81.28 81.28 60.00°
Site moments in Bohr magnetons follow the coordinates.
Sites, in units of the cell vectors:
Sm 0.094 0.094 0.718  0.07
Sm 0.906 0.906 0.282  0.07
Cu 0.500 0.500 0.500  0.01
Ti 0.000 0.000 0.000  1.15

=====

ii:
VASP calculation (GGA-PBE) on an optimized crystal structure of Sm2TiCu.

Cell: 3.443 3.443 7.983 Å, 90.00 90.00 90.00°
Sites, in units of the cell vectors:
Cu 0.500 0.500 0.000
Sm 0.000 0.000 0.232
Sm 0.000 0.000 0.768
Ti 0.500 0.500 0.500

=====

Stability, lowest: i

=====

i:
VASP calculation (GGA-PBE) on an optimized crystal structure of Sm3TlCu2.

Cell: 3.574 3.574 11.512 Å, 90.00 90.00 90.00°
Site moments in Bohr magnetons follow the coordinates.
Sites, in units of the cell vectors:
Sm 0.000 0.000 0.693  0.07
Sm 0.000 0.000 0.000  0.00
Sm 0.000 0.000 0.307  0.07
Cu 0.500 0.500 0.848  0.01
Cu 0.500 0.500 0.152  0.01
Tl 0.500 0.500 0.500  0.00

=====

ii:
VASP calculation (GGA-PBE) on an optimized crystal structure of Sm3TlCu2.

Cell: 7.960 7.960 7.960 Å, 56.47 56.47 56.47°
Sites, in units of the cell vectors:
Sm 0.966 0.250 0.534
Sm 0.750 0.466 0.034
Sm 0.466 0.034 0.750
Sm 0.250 0.534 0.966
Sm 0.034 0.750 0.466
Sm 0.534 0.966 0.250
Cu 0.146 0.146 0.146
Cu 0.854 0.854 0.854
Cu 0.646 0.646 0.646
Cu 0.354 0.354 0.354
Tl 0.500 0.500 0.500
Tl 0.000 0.000 0.000

=====

Stability, lowest: ii

=====

i:
VASP calculation (GGA-PBE) on an optimized crystal structure of Sm4Tl3Cu.

Cell: 3.917 4.876 11.921 Å, 90.00 90.00 90.00°
Sites, in units of the cell vectors:
Sm 0.500 0.000 0.651
Sm 0.000 0.500 0.872
Sm 0.000 0.000 0.143
Sm 0.500 0.500 0.333
Tl 0.000 0.000 0.414
Tl 0.000 0.500 0.587
Tl 0.500 0.000 0.923
Cu 0.500 0.500 0.077

=====

ii:
VASP calculation (GGA-PBE) on an optimized crystal structure of Sm4Tl3Cu.

Cell: 3.644 3.644 16.421 Å, 90.00 90.00 90.00°
Sites, in units of the cell vectors:
Sm 0.000 0.000 0.632
Sm 0.000 0.000 0.895
Sm 0.000 0.000 0.105
Sm 0.000 0.000 0.368
Tl 0.500 0.500 0.764
Tl 0.500 0.500 0.236
Tl 0.500 0.500 0.500
Cu 0.500 0.500 0.000

=====

Stability, lowest: i

=====

i:
VASP calculation (GGA-PBE) on an optimized crystal structure of Sm4TlCu.

Cell: 6.157 9.127 6.392 Å, 90.00 105.06 90.00°
Sites, in units of the cell vectors:
Sm 0.628 0.672 0.601
Sm 0.936 0.346 0.877
Sm 0.064 0.654 0.123
Sm 0.372 0.328 0.399
Sm 0.564 0.846 0.123
Sm 0.436 0.154 0.877
Sm 0.128 0.828 0.601
Sm 0.872 0.172 0.399
Tl 0.500 0.500 0.000
Tl 0.000 0.000 0.000
Cu 0.000 0.500 0.500
Cu 0.500 0.000 0.500

=====

ii:
VASP calculation (GGA-PBE) on an optimized crystal structure of Sm4TlCu.

Cell: 5.464 7.207 9.574 Å, 90.00 114.81 90.00°
Sites, in units of the cell vectors:
Cu 0.818 0.750 0.449
Cu 0.182 0.250 0.551
Sm 0.665 0.250 0.871
Sm 0.596 0.250 0.455
Sm 0.087 0.518 0.758
Sm 0.913 0.018 0.242
Sm 0.335 0.750 0.129
Sm 0.404 0.750 0.545
Sm 0.913 0.482 0.242
Sm 0.087 0.982 0.758
Tl 0.689 0.750 0.917
Tl 0.311 0.250 0.083

=====

Stability, lowest: i